A geometry-optimized CsAcTe2O7 structure. Source: the Alexandria database, functional GGA-PBE.

abc: 4.1086 4.1086 11.4694
angles: 90.00 90.00 90.00
Last column: nearest neighbours and their distance in Å.
Sites, in units of the cell vectors:
O: 0.5000 0.5000 0.6374  1 Te 1.85
O: 0.5000 0.0000 0.1639  2 Te 2.10
O: 0.5000 0.0000 0.8361  2 Te 2.10
O: 0.5000 0.5000 0.3626  1 Te 1.85
O: 0.5000 0.5000 0.0000  2 Te 2.31
O: 0.0000 0.5000 0.8361  2 Te 2.10
O: 0.0000 0.5000 0.1639  2 Te 2.10
Ac: 0.0000 0.0000 0.0000  12 O 2.78-2.91
Cs: 0.0000 0.0000 0.5000  8 O 3.30
Te: 0.5000 0.5000 0.7986  1 O 1.85
Te: 0.5000 0.5000 0.2014  1 O 1.85

Properties
Total moment (μB per atom): 0.000
Formation energy without anion corrections (eV per atom): -1.66
Raw total energy (eV/atom): -5.839